# Rb2VTeBr, relaxed, DFT PBE
# Raw formation energy in kJ/mol of formula units: 180
data_Rb2VTeBr
_space_group_name_H-M_alt 'P 4/m m m'
_space_group_IT_number 123
_space_group_name_Hall '-P 4 2'
_cell_length_a 7.1066
_cell_length_b 7.1066
_cell_length_c 5.7523
_cell_angle_alpha 90.00
_cell_angle_beta 90.00
_cell_angle_gamma 90.00
loop_
_atom_site_label
_atom_site_fract_x
_atom_site_fract_y
_atom_site_fract_z
Rb1 0.0000 0.5000 0.0000
V1 0.0000 0.0000 0.5000
Te1 0.5000 0.5000 0.0000
Br1 0.5000 0.5000 0.5000

# RbVTeBr6, relaxed, DFT PBE
# Raw formation energy in kJ/mol of formula units: -655
data_RbVTeBr6
_space_group_name_H-M_alt 'P 1'
_space_group_IT_number 1
_space_group_name_Hall 'P 1'
_cell_length_a 6.8604
_cell_length_b 7.6508
_cell_length_c 7.7469
_cell_angle_alpha 60.87
_cell_angle_beta 88.29
_cell_angle_gamma 85.43
loop_
_atom_site_label
_atom_site_fract_x
_atom_site_fract_y
_atom_site_fract_z
Rb1 0.0000 0.0000 0.0000
V1 0.4844 0.3539 0.3087
Te1 0.4941 0.6940 0.6206
Br1 0.2148 0.5410 0.3807
Br2 0.3021 0.0337 0.5967
Br3 0.3116 0.3287 0.0536
Br4 0.6456 0.6437 0.0661
Br5 0.6741 0.3656 0.6089
Br6 0.7535 0.1015 0.3578

# Rb2TeWBr6, relaxed, DFT PBE
# Raw formation energy in kJ/mol of formula units: -649
data_Rb2TeWBr6
_space_group_name_H-M_alt 'I 4/m m m'
_space_group_IT_number 139
_space_group_name_Hall '-I 4 2'
_cell_length_a 8.6673
_cell_length_b 8.6673
_cell_length_c 10.7417
_cell_angle_alpha 90.00
_cell_angle_beta 90.00
_cell_angle_gamma 90.00
loop_
_atom_site_label
_atom_site_fract_x
_atom_site_fract_y
_atom_site_fract_z
Rb1 0.0000 0.5000 0.2500
Te1 0.0000 0.0000 0.0000
W1 0.0000 0.0000 0.5000
Br1 0.0000 0.0000 0.2608
Br2 0.2098 0.2098 0.5000

# RbYTeBr2, relaxed, DFT PBE
# Raw formation energy in kJ/mol of formula units: -763
data_RbYTeBr2
_space_group_name_H-M_alt 'P 4/m m m'
_space_group_IT_number 123
_space_group_name_Hall '-P 4 2'
_cell_length_a 5.6855
_cell_length_b 5.6855
_cell_length_c 5.9563
_cell_angle_alpha 90.00
_cell_angle_beta 90.00
_cell_angle_gamma 90.00
loop_
_atom_site_label
_atom_site_fract_x
_atom_site_fract_y
_atom_site_fract_z
Rb1 0.0000 0.0000 0.0000
Y1 0.5000 0.5000 0.5000
Te1 0.5000 0.5000 0.0000
Br1 0.0000 0.5000 0.5000

# Rb2YTeBr6, relaxed, DFT PBE
# Raw formation energy in kJ/mol of formula units: -1235
data_Rb2YTeBr6
_space_group_name_H-M_alt 'I 4/m m m'
_space_group_IT_number 139
_space_group_name_Hall '-I 4 2'
_cell_length_a 8.1108
_cell_length_b 8.1108
_cell_length_c 13.2818
_cell_angle_alpha 90.00
_cell_angle_beta 90.00
_cell_angle_gamma 90.00
loop_
_atom_site_label
_atom_site_fract_x
_atom_site_fract_y
_atom_site_fract_z
Rb1 0.0000 0.5000 0.2500
Y1 0.0000 0.0000 0.0000
Te1 0.0000 0.0000 0.5000
Br1 0.0000 0.0000 0.2096
Br2 0.2444 0.2444 0.0000

# Rb2ZnTeBr6, relaxed, DFT PBE
# Raw formation energy in kJ/mol of formula units: -939
data_Rb2ZnTeBr6
_space_group_name_H-M_alt 'I 4/m m m'
_space_group_IT_number 139
_space_group_name_Hall '-I 4 2'
_cell_length_a 8.0571
_cell_length_b 8.0571
_cell_length_c 11.7308
_cell_angle_alpha 90.00
_cell_angle_beta 90.00
_cell_angle_gamma 90.00
loop_
_atom_site_label
_atom_site_fract_x
_atom_site_fract_y
_atom_site_fract_z
Rb1 0.0000 0.5000 0.2500
Zn1 0.0000 0.0000 0.0000
Te1 0.0000 0.0000 0.5000
Br1 0.0000 0.0000 0.2003
Br2 0.2422 0.2422 0.5000

- Number 1 is which compound?
  Rb2VTeBr